# 1
{"formula": "NaYSn", "functional": "GGA-PBE", "state": "optimized geometry", "e_above_lowest_polymorph_ev_per_atom": 0.237, "m_tot_mub_per_cell": 0.83, "volume_a3_per_cell": 188, "lattice_angstrom": [[0.000, 5.038, 5.478], [3.404, 0.000, 5.478], [3.404, 5.038, 0.000]], "species": ["Na", "Na", "Y", "Y", "Sn", "Sn"], "frac_coords": [[0.169, 0.831, 0.169], [0.831, 0.169, 0.831], [0.320, 0.320, 0.680], [0.680, 0.680, 0.320], [0.250, 0.250, 0.250], [0.750, 0.750, 0.750]]}

# 2
{"formula": "NaY3Sn", "functional": "GGA-PBE", "state": "optimized geometry", "e_above_lowest_polymorph_ev_per_atom": 0.000, "m_tot_mub_per_cell": 2.43, "volume_a3_per_cell": 199, "lattice_angstrom": [[5.837, 0.000, 0.000], [0.000, 5.837, 0.000], [0.000, 0.000, 5.837]], "species": ["Na", "Y", "Y", "Y", "Sn"], "frac_coords": [[0.000, 0.000, 0.000], [0.000, 0.500, 0.500], [0.500, 0.000, 0.500], [0.500, 0.500, 0.000], [0.500, 0.500, 0.500]]}

# 3
{"formula": "NaYSn", "functional": "GGA-PBE", "state": "optimized geometry", "e_above_lowest_polymorph_ev_per_atom": 0.169, "m_tot_mub_per_cell": 0.00, "volume_a3_per_cell": 209, "lattice_angstrom": [[5.321, 0.000, 0.000], [0.000, 5.321, 0.000], [0.000, 0.000, 7.381]], "species": ["Na", "Na", "Y", "Y", "Sn", "Sn"], "frac_coords": [[0.250, 0.750, 0.000], [0.750, 0.250, 0.000], [0.250, 0.750, 0.500], [0.750, 0.250, 0.500], [0.250, 0.250, 0.281], [0.750, 0.750, 0.719]]}

# 4
{"formula": "NaYSn", "functional": "GGA-PBE", "state": "optimized geometry", "e_above_lowest_polymorph_ev_per_atom": 0.188, "m_tot_mub_per_cell": 0.00, "volume_a3_per_cell": 165, "lattice_angstrom": [[4.293, 0.000, 0.000], [0.000, 2.590, 7.424], [0.000, -2.590, 7.424]], "species": ["Na", "Na", "Y", "Y", "Sn", "Sn"], "frac_coords": [[0.000, 0.000, 0.000], [0.500, 0.164, 0.164], [0.500, 0.495, 0.495], [0.500, 0.811, 0.811], [0.000, 0.342, 0.342], [0.000, 0.651, 0.651]]}

# 5
{"formula": "NaYSn", "functional": "GGA-PBE", "state": "optimized geometry", "e_above_lowest_polymorph_ev_per_atom": 0.180, "m_tot_mub_per_cell": 0.00, "volume_a3_per_cell": 96, "lattice_angstrom": [[0.000, 3.638, 3.638], [3.638, 0.000, 3.638], [3.638, 3.638, 0.000]], "species": ["Na", "Y", "Sn"], "frac_coords": [[0.000, 0.000, 0.000], [0.500, 0.500, 0.500], [0.750, 0.750, 0.750]]}

# 6
{"formula": "Na3YSn", "functional": "GGA-PBE", "state": "optimized geometry", "e_above_lowest_polymorph_ev_per_atom": 0.586, "m_tot_mub_per_cell": 1.13, "volume_a3_per_cell": 221, "lattice_angstrom": [[6.047, 0.000, 0.000], [0.000, 6.047, 0.000], [0.000, 0.000, 6.047]], "species": ["Na", "Na", "Na", "Y", "Sn"], "frac_coords": [[0.000, 0.000, 0.500], [0.000, 0.500, 0.000], [0.500, 0.000, 0.000], [0.000, 0.000, 0.000], [0.500, 0.500, 0.500]]}

# 7
{"formula": "NaYSn", "functional": "GGA-PBE", "state": "optimized geometry", "e_above_lowest_polymorph_ev_per_atom": 0.247, "m_tot_mub_per_cell": 1.47, "volume_a3_per_cell": 207, "lattice_angstrom": [[-2.025, 2.025, 12.588], [2.025, -2.025, 12.588], [2.025, 2.025, -12.588]], "species": ["Na", "Na", "Y", "Y", "Sn", "Sn"], "frac_coords": [[0.076, 0.076, 0.000], [0.924, 0.924, 0.000], [0.210, 0.210, 0.000], [0.790, 0.790, 0.000], [0.345, 0.345, 0.000], [0.655, 0.655, 0.000]]}

# 8
{"formula": "NaY2Sn2", "functional": "GGA-PBE", "state": "optimized geometry", "e_above_lowest_polymorph_ev_per_atom": 0.046, "m_tot_mub_per_cell": 0.00, "volume_a3_per_cell": 291, "lattice_angstrom": [[9.187, 0.000, 0.000], [0.000, 9.187, 0.000], [0.000, 0.000, 3.451]], "species": ["Na", "Na", "Y", "Y", "Y", "Y", "Sn", "Sn", "Sn", "Sn"], "frac_coords": [[0.000, 0.000, 0.000], [0.500, 0.500, 0.000], [0.132, 0.368, 0.000], [0.368, 0.868, 0.000], [0.632, 0.132, 0.000], [0.868, 0.632, 0.000], [0.167, 0.667, 0.500], [0.333, 0.167, 0.500], [0.667, 0.833, 0.500], [0.833, 0.333, 0.500]]}

For each record above, in turn, the calculated energy of formation from the pure elements values are -262 216 -330 -311 -318 1048 -251 -467 meV per atom.